The following is a DFT calculation (PBE with a Hubbard U) of a geometry-optimized Cs2CrInF6 structure.

Cell: 6.5570 6.5570 6.5570 Å, 60.00 60.00 60.00°
Last column: nearest neighbours and their distance in Å.
Positions (direct):
Cs (0.2500, 0.2500, 0.2500)  12 F 3.30
Cs (0.7500, 0.7500, 0.7500)  12 F 3.30
Cr (0.0000, 0.0000, 0.0000)  6 F 1.97
In (0.5000, 0.5000, 0.5000)  6 F 2.67
F (0.2120, 0.2120, 0.7880)  1 Cr 1.97
F (0.2120, 0.7880, 0.2120)  1 Cr 1.97
F (0.2120, 0.7880, 0.7880)  1 Cr 1.97
F (0.7880, 0.2120, 0.2120)  1 Cr 1.97
F (0.7880, 0.2120, 0.7880)  1 Cr 1.97
F (0.7880, 0.7880, 0.2120)  1 Cr 1.97

Final energy: -4.94 eV/atom